Here is a relaxed Mn3PdW crystal from Alexandria via LeMat-Bulk. Energies are from PBE.

```
Mn3PdW
1.0
4.575 0.000 0.000
0.000 4.575 0.000
0.000 0.000 4.575
Pd Mn W
1 3 1
direct
0.500 0.500 0.500
0.000 0.500 0.000
0.500 0.000 0.000
0.000 0.000 0.500
0.000 0.000 0.000
```

Properties
* distance to the lowest polymorph of the same formula: 0.00 kJ per mole of atoms
* uncorrected energy: -7.789 eV per atom
* calculated density: 7.9 g/cm³
* formation energy: 1.34 eV/atom
* magnetic moment: 8.1 μB/cell

Here is a relaxed Mn3PdW crystal from Alexandria via LeMat-Bulk. Energies are from PBE.

```
Mn3PdW
1.0
-2.536 -3.333 -2.120
3.866 -1.577 -2.146
0.811 -2.906 3.597
Mn W Pd
3 1 1
direct
0.000 0.000 0.500
0.500 0.000 0.000
0.000 0.500 0.000
0.500 0.500 0.500
0.000 0.000 0.000
```

Properties
* distance to the lowest polymorph of the same formula: 18.67 kJ per mole of atoms
* uncorrected energy: -7.595 eV per atom
* calculated density: 7.3 g/cm³
* formation energy: 1.54 eV/atom
* magnetic moment: 9.6 μB/cell

Here is a relaxed Mn2Pd8W crystal from Alexandria via LeMat-Bulk. Energies are from PBE.

```
Mn2Pd8W
1.0
-1.674 3.619 -0.939
-4.184 -0.608 5.116
5.351 3.100 2.412
Pd Mn W
8 2 1
direct
0.000 0.041 0.302
0.000 0.959 0.698
0.500 0.668 0.668
0.500 0.248 0.752
0.500 0.332 0.332
0.000 0.302 0.041
0.000 0.698 0.959
0.500 0.752 0.248
0.000 0.377 0.623
0.000 0.623 0.377
0.500 0.000 0.000
```

Properties
* uncorrected energy: -6.636 eV per atom
* calculated density: 10.9 g/cm³
* formation energy: -0.01 eV/atom
* magnetic moment: 7.6 μB/cell

Here is a relaxed MnPd2W crystal from Alexandria via LeMat-Bulk. Energies are from PBE.

```
MnPd2W
1.0
-1.509 -2.728 3.156
-3.598 1.102 2.349
-3.803 -2.202 -0.604
W Pd Mn
1 2 1
direct
0.500 0.500 0.500
0.250 0.250 0.250
0.750 0.750 0.750
0.000 0.000 0.000
```

Properties
* uncorrected energy: -7.881 eV per atom
* calculated density: 12.1 g/cm³
* formation energy: 0.25 eV/atom
* magnetic moment: 3.9 μB/cell

Here is a relaxed MnPdW crystal from Alexandria via LeMat-Bulk. Energies are from PBE.

```
MnPdW
1.0
-7.969 -0.801 3.015
4.127 -2.097 -3.737
-11.397 -2.348 7.620
Pd W Mn
2 2 2
direct
0.527 0.746 0.296
0.861 0.075 0.967
0.859 0.580 0.462
0.177 0.900 0.141
0.530 0.244 0.798
0.184 0.406 0.636
```

Properties
* uncorrected energy: -8.973 eV per atom
* calculated density: 13.2 g/cm³
* formation energy: 0.13 eV/atom
* magnetic moment: 4.4 μB/cell

Here is a relaxed MnPdW3 crystal from Alexandria via LeMat-Bulk. Energies are from PBE.

```
MnPdW3
1.0
-3.104 -3.167 0.309
2.204 -2.451 -2.983
2.295 -1.930 3.282
Mn W Pd
1 3 1
direct
0.000 0.000 0.000
0.500 0.000 0.000
0.000 0.000 0.500
0.000 0.500 0.000
0.500 0.500 0.500
```

Properties
* uncorrected energy: -9.378 eV per atom
* calculated density: 13.5 g/cm³
* formation energy: 1.27 eV/atom
* magnetic moment: 0.0 μB/cell

Here is a relaxed Mn3Pd12W crystal from Alexandria via LeMat-Bulk. Energies are from PBE.

```
Mn3Pd12W
1.0
3.931 0.000 0.000
0.000 3.931 0.000
0.000 0.000 15.692
Pd W Mn
12 1 3
direct
0.500 0.500 0.752
0.000 0.500 0.121
0.500 0.000 0.375
0.000 0.500 0.625
0.500 0.000 0.625
0.500 0.500 0.500
0.000 0.500 0.879
0.500 0.500 0.000
0.500 0.000 0.121
0.000 0.500 0.375
0.500 0.000 0.879
0.500 0.500 0.248
0.000 0.000 0.000
0.000 0.000 0.745
0.000 0.000 0.255
0.000 0.000 0.500
```

Properties
* uncorrected energy: -6.616 eV per atom
* calculated density: 11.1 g/cm³
* formation energy: -0.19 eV/atom
* magnetic moment: 13.4 μB/cell

Here is a relaxed MnPd6W crystal from Alexandria via LeMat-Bulk. Energies are from PBE.

```
MnPd6W
1.0
-3.523 -0.054 -1.748
-1.188 -2.812 2.480
-2.570 5.508 5.012
Mn Pd W
1 6 1
direct
0.000 0.000 0.000
0.000 0.500 0.743
0.500 0.500 0.500
0.000 0.500 0.257
0.500 0.000 0.743
0.500 0.000 0.257
0.500 0.500 0.000
0.000 0.000 0.500
```

Properties
* uncorrected energy: -6.817 eV per atom
* calculated density: 12.0 g/cm³
* formation energy: -0.16 eV/atom
* magnetic moment: 5.2 μB/cell